VASP calculation (PBEsol) on a geometry-optimized SrBe2Pt2 structure.

Geometry as POSCAR:
```
SrBe2Pt2
1.0
-2.0242 2.0242 4.9947
2.0242 -2.0242 4.9947
2.0242 2.0242 -4.9947
Sr Be Pt
1 2 2
Cartesian
0.0000 0.0000 0.0000
2.0242 0.0000 2.4974
0.0000 2.0242 2.4974
0.0000 0.0000 3.5930
0.0000 0.0000 6.3965
```

Computed properties:
Formation energy, eV/atom: -0.5954
SG: I4/mmm (139)